<one>
This record from the Alexandria database describes a relaxed structure of Mn2BeTl. The functional is PBE.

DOS at the Fermi energy   3.2 states/eV per cell

Cell lengths 8.2620, 8.2620, 8.2620 Å; angles 20.57, 20.57, 20.57 degrees
Positions (direct):
Mn 0.2644 0.2644 0.2644
Mn 0.0025 0.0025 0.0025
Tl 0.4961 0.4961 0.4961
Be 0.7370 0.7370 0.7370

---

<two>
This record from the Alexandria database describes a relaxed structure of Mn2BeTl. The functional is PBE.

DOS at the Fermi energy   3.1 states/eV per cell

Cell lengths 2.9504, 2.9504, 6.5297 Å; angles 90.00, 90.00, 90.00 degrees
Positions (direct):
Tl 0.0000 0.0000 0.5131
Mn 0.0000 0.0000 0.9777
Mn 0.5000 0.5000 0.1920
Be 0.5000 0.5000 0.8172

---

<three>
This record from the Alexandria database describes a relaxed structure of Mn2BeTl. The functional is PBE.

DOS at the Fermi energy   2.6 states/eV per cell

Cell lengths 4.5024, 4.5024, 4.7636 Å; angles 76.44, 76.44, 38.09 degrees
Positions (direct):
Tl 0.5041 0.5041 0.4920
Mn 0.9950 0.9950 0.0047
Mn 0.7317 0.7317 0.8202
Be 0.2691 0.2691 0.1831

---

Which of them is most stable? Easy: <two>.